No. 1
## PaCu2AgO6 (PBE-GGA)

Data for a relaxed PaCu2AgO6 crystal.

Output
M_tot ... 0.00 μB/f.u.
Space-group type ... C2/c, No. 15
Raw total energy ... -127.068 eV/cell

a b c (Å): 5.5557 7.0636 7.0636
angles (deg): 86.11 82.25 82.25
Last column: nearest neighbours and their distance in Å.
Element x y z (fractional)
1 Pa 0.7500 0.7131 0.2869  6 O 2.11-2.31
2 Pa 0.2500 0.2869 0.7131  6 O 2.11-2.31
3 Cu 0.8232 0.2071 0.3914  4 O 1.90-1.96
4 Cu 0.1768 0.7929 0.6086  4 O 1.90-1.96
5 Cu 0.6768 0.6086 0.7929  4 O 1.90-1.96
6 Cu 0.3232 0.3914 0.2071  4 O 1.90-1.96
7 O 0.1257 0.2940 0.4344  2 Cu 1.93-1.96
8 O 0.1167 0.9916 0.7844  1 Cu 1.90
9 O 0.6257 0.4344 0.2940  2 Cu 1.93-1.96
10 O 0.6034 0.1544 0.6148  1 Cu 1.91, 1 Pa 2.11
11 O 0.8833 0.0084 0.2156  1 Cu 1.90
12 O 0.3833 0.2156 0.0084  1 Cu 1.90
13 O 0.6167 0.7844 0.9916  1 Cu 1.90
14 O 0.8966 0.3852 0.8456  1 Cu 1.91, 1 Pa 2.11
15 O 0.3743 0.5656 0.7060  2 Cu 1.93-1.96
16 O 0.1034 0.6148 0.1544  1 Cu 1.91, 1 Pa 2.11
17 O 0.8743 0.7060 0.5656  2 Cu 1.93-1.96
18 O 0.3966 0.8456 0.3852  1 Cu 1.91, 1 Pa 2.11
19 Ag 0.2500 0.9082 0.0918  6 O 2.15-2.40
20 Ag 0.7500 0.0918 0.9082  6 O 2.15-2.40

No. 2
## PaCuAgO6 (PBE-GGA)

Data for a relaxed PaCuAgO6 crystal.

Output
M_tot ... 1.19 μB/f.u.
Space-group type ... P312, No. 149
Raw total energy ... -57.672 eV/cell

a b c (Å): 4.7158 5.2558 5.2558
angles (deg): 120.00 90.00 90.00
Last column: nearest neighbours and their distance in Å.
Element x y z (fractional)
1 Cu 0.5000 0.0000 0.0000  6 O 2.01
2 O 0.7371 0.6830 0.6813  1 Cu 2.01, 1 Ag 2.11, 1 Pa 2.19
3 O 0.2629 0.6830 0.0018  1 Cu 2.01, 1 Ag 2.11, 1 Pa 2.19
4 O 0.7371 0.9982 0.3170  1 Cu 2.01, 1 Ag 2.11, 1 Pa 2.19
5 O 0.7371 0.3187 0.0018  1 Cu 2.01, 1 Ag 2.11, 1 Pa 2.19
6 O 0.2629 0.9982 0.6813  1 Cu 2.01, 1 Ag 2.11, 1 Pa 2.19
7 O 0.2629 0.3187 0.3170  1 Cu 2.01, 1 Ag 2.11, 1 Pa 2.19
8 Pa 0.0000 0.3333 0.6667  6 O 2.19
9 Ag 0.5000 0.6667 0.3333  6 O 2.11

No. 3
## PaCuAgO4 (PBE-GGA)

Data for a relaxed PaCuAgO4 crystal.

Output
M_tot ... 1.00 μB/f.u.
Space-group type ... Imma, No. 74
Raw total energy ... -98.727 eV/cell

a b c (Å): 5.7537 6.8890 6.9617
angles (deg): 120.35 90.00 114.68
Last column: nearest neighbours and their distance in Å.
Element x y z (fractional)
1 O 0.2879 0.5757 0.7275  2 Cu 1.99
2 O 0.2879 0.5757 0.3482  2 Cu 1.99
3 O 0.2922 0.0372 0.7686  2 Pa 2.18, 1 Ag 2.40
4 O 0.7121 0.4243 0.6518  2 Cu 1.99
5 O 0.7078 0.9628 0.2314  2 Pa 2.18, 1 Ag 2.40
6 O 0.7450 0.0372 0.7686  2 Pa 2.18, 1 Ag 2.40
7 O 0.7121 0.4243 0.2725  2 Cu 1.99
8 O 0.2550 0.9628 0.2314  2 Pa 2.18, 1 Ag 2.40
9 Cu 0.0000 0.5000 0.5000  4 O 1.99
10 Cu 0.5000 0.5000 0.5000  4 O 1.99
11 Pa 0.5000 0.0000 0.5000  6 O 2.18-2.25
12 Pa 0.5000 0.0000 0.0000  6 O 2.18-2.25
13 Ag 0.1922 0.3844 0.9422  4 O 2.38-2.40
14 Ag 0.8078 0.6156 0.0578  4 O 2.38-2.40

No. 4
## PaCu4Ag3O12 (PBE-GGA)

Data for a relaxed PaCu4Ag3O12 crystal.

Output
M_tot ... 0.00 μB/f.u.
Space-group type ... Im-3, No. 204
Raw total energy ... -110.243 eV/cell

a b c (Å): 6.5485 6.5485 6.5485
angles (deg): 109.47 109.47 109.47
Last column: nearest neighbours and their distance in Å.
Element x y z (fractional)
1 Cu 0.5000 0.5000 0.5000  6 O 1.99
2 Cu 0.5000 0.0000 0.0000  6 O 1.99
3 Cu 0.0000 0.0000 0.5000  6 O 1.99
4 Cu 0.0000 0.5000 0.0000  6 O 1.99
5 O 0.2835 0.1729 0.4564  2 Cu 1.99, 1 Ag 2.10
6 O 0.1729 0.4564 0.2835  2 Cu 1.99, 1 Ag 2.10
7 O 0.7165 0.1729 0.8895  2 Cu 1.99, 1 Ag 2.10
8 O 0.4564 0.2835 0.1729  2 Cu 1.99, 1 Ag 2.10
9 O 0.5436 0.7165 0.8271  2 Cu 1.99, 1 Ag 2.10
10 O 0.1729 0.8895 0.7165  2 Cu 1.99, 1 Ag 2.10
11 O 0.2835 0.8271 0.1105  2 Cu 1.99, 1 Ag 2.10
12 O 0.8271 0.1105 0.2835  2 Cu 1.99, 1 Ag 2.10
13 O 0.1105 0.2835 0.8271  2 Cu 1.99, 1 Ag 2.10
14 O 0.7165 0.8271 0.5436  2 Cu 1.99, 1 Ag 2.10
15 O 0.8895 0.7165 0.1729  2 Cu 1.99, 1 Ag 2.10
16 O 0.8271 0.5436 0.7165  2 Cu 1.99, 1 Ag 2.10
17 Pa 0.0000 0.0000 0.0000  12 O 2.51
18 Ag 0.5000 0.5000 0.0000  4 O 2.10
19 Ag 0.5000 0.0000 0.5000  4 O 2.10
20 Ag 0.0000 0.5000 0.5000  4 O 2.10

No. 5
## PaCuAg2O6 (PBE-GGA)

Data for a relaxed PaCuAg2O6 crystal.

Output
M_tot ... 0.00 μB/f.u.
Space-group type ... P1, No. 1
Raw total energy ... -61.758 eV/cell

a b c (Å): 6.4323 4.9250 6.4964
angles (deg): 65.38 52.26 65.68
Last column: nearest neighbours and their distance in Å.
Element x y z (fractional)
1 O 0.1665 0.0241 0.3482  1 Cu 1.84
2 O 0.0167 0.6036 0.2105  1 Cu 1.84
3 O 0.0645 0.4420 0.6688  2 Ag 2.07-2.31, 1 Pa 2.10
4 O 0.7107 0.1832 0.2904  2 Ag 2.08-2.23, 1 Pa 2.12
5 O 0.4527 0.6390 0.7448  1 Cu 1.87
6 O 0.6202 0.0112 0.8956  1 Cu 1.86
7 Ag 0.0345 0.0100 0.9196  3 O 2.07-2.23
8 Ag 0.4591 0.6141 0.3390  3 O 2.08-2.31
9 Pa 0.8150 0.8164 0.5549  6 O 2.10-2.25
10 Cu 0.3219 0.3179 0.0432  4 O 1.84-1.87

No. 6
## PaCuAgO5 (PBE-GGA)

Data for a relaxed PaCuAgO5 crystal.

Output
M_tot ... 1.02 μB/f.u.
Space-group type ... C2/c, No. 15
Raw total energy ... -107.593 eV/cell

a b c (Å): 6.6057 6.6057 6.5283
angles (deg): 104.27 104.27 115.47
Last column: nearest neighbours and their distance in Å.
Element x y z (fractional)
1 O 0.6052 0.1683 0.3950  1 Cu 2.00, 1 Pa 2.08
2 O 0.6558 0.7227 0.2714  1 Cu 1.95, 1 Ag 2.04
3 O 0.2773 0.3442 0.2286  1 Cu 1.95, 1 Ag 2.04
4 O 0.1683 0.6052 0.8950  1 Cu 2.00, 1 Pa 2.08
5 O 0.8966 0.1034 0.7500  2 Ag 2.00, 1 Pa 2.21
6 O 0.8317 0.3948 0.1050  1 Cu 2.00, 1 Pa 2.08
7 O 0.1034 0.8966 0.2500  2 Ag 2.00, 1 Pa 2.21
8 O 0.7227 0.6558 0.7714  1 Cu 1.95, 1 Ag 2.04
9 O 0.3948 0.8317 0.6050  1 Cu 2.00, 1 Pa 2.08
10 O 0.3442 0.2773 0.7286  1 Cu 1.95, 1 Ag 2.04
11 Ag 0.0000 0.0000 0.5000  4 O 2.00-2.04
12 Ag 0.0000 0.0000 0.0000  4 O 2.00-2.04
13 Pa 0.3008 0.6992 0.2500  5 O 2.08-2.25
14 Pa 0.6992 0.3008 0.7500  5 O 2.08-2.25
15 Cu 0.5988 0.4012 0.2500  4 O 1.95-2.00
16 Cu 0.4012 0.5988 0.7500  4 O 1.95-2.00

No. 7
## Pa2CuAgO8 (PBE-GGA)

Data for a relaxed Pa2CuAgO8 crystal.

Output
M_tot ... 0.00 μB/f.u.
Space-group type ... P-3m1, No. 164
Raw total energy ... -87.187 eV/cell

a b c (Å): 5.1355 5.1355 6.9122
angles (deg): 90.00 90.00 120.00
Last column: nearest neighbours and their distance in Å.
Element x y z (fractional)
1 O 0.1738 0.8262 0.1470  1 Cu 1.85
2 O 0.3333 0.6667 0.5741  1 Pa 1.87
3 O 0.3475 0.1738 0.8530  1 Cu 1.85
4 O 0.8262 0.6525 0.8530  1 Cu 1.85
5 O 0.8262 0.1738 0.8530  1 Cu 1.85
6 O 0.1738 0.3475 0.1470  1 Cu 1.85
7 O 0.6525 0.8262 0.1470  1 Cu 1.85
8 O 0.6667 0.3333 0.4259  1 Pa 1.87
9 Ag 0.0000 0.0000 0.5000  12 O 2.89-3.01
10 Cu 0.0000 0.0000 0.0000  6 O 1.85
11 Pa 0.3333 0.6667 0.8452  1 O 1.87
12 Pa 0.6667 0.3333 0.1548  1 O 1.87

No. 8
## CuAg4Pd3O8 (PBE-GGA)

Data for a relaxed CuAg4Pd3O8 crystal.

Output
M_tot ... 0.00 μB/f.u.
Space-group type ... C2/m, No. 12
Raw total energy ... -75.051 eV/cell

a b c (Å): 6.1548 9.0800 6.5890
angles (deg): 130.24 117.84 90.00
Last column: nearest neighbours and their distance in Å.
Element x y z (fractional)
1 O 0.7412 0.8222 0.4825  1 Pd 2.11, 3 Ag 2.14-2.18
2 O 0.2571 0.3797 0.0414  1 Cu 1.94, 2 Pd 2.02-2.07
3 O 0.7429 0.6203 0.9586  1 Cu 1.94, 2 Pd 2.02-2.07
4 O 0.2588 0.1778 0.5175  1 Pd 2.11, 3 Ag 2.14-2.18
5 O 0.2949 0.6768 0.5898  2 Pd 2.00, 1 Ag 2.02
6 O 0.7051 0.3232 0.4102  2 Pd 2.00, 1 Ag 2.02
7 O 0.7843 0.3797 0.0414  1 Cu 1.94, 2 Pd 2.02-2.07
8 O 0.2157 0.6203 0.9586  1 Cu 1.94, 2 Pd 2.02-2.07
9 Ag 0.0000 0.0000 0.0000  2 O 2.14
10 Ag 0.5000 0.0000 0.5000  2 O 2.18
11 Ag 0.0000 0.0000 0.5000  2 O 2.18
12 Ag 0.5000 0.0000 0.0000  2 O 2.02
13 Pd 0.5000 0.5000 0.5000  4 O 2.00-2.02
14 Pd 0.5000 0.5000 0.0000  6 O 2.07-2.11
15 Pd 0.0000 0.5000 0.5000  4 O 2.00-2.02
16 Cu 0.0000 0.5000 0.0000  4 O 1.94

No. 9
## CuAgPdO4 (PBE-GGA)

Data for a relaxed CuAgPdO4 crystal.

Output
M_tot ... 0.00 μB/f.u.
Space-group type ... Imma, No. 74
Raw total energy ... -68.732 eV/cell

a b c (Å): 5.7027 6.4346 6.2684
angles (deg): 119.15 90.00 116.30
Last column: nearest neighbours and their distance in Å.
Element x y z (fractional)
1 Pd 0.5000 0.0000 0.5000  6 O 2.04-2.06
2 Pd 0.5000 0.0000 0.0000  6 O 2.04-2.06
3 O 0.2900 0.5800 0.3402  2 Cu 1.94, 1 Pd 2.06
4 O 0.2678 0.9931 0.2465  2 Pd 2.04, 1 Ag 2.20
5 O 0.2900 0.5800 0.7399  2 Cu 1.94, 1 Pd 2.06
6 O 0.7252 0.9931 0.2465  2 Pd 2.04, 1 Ag 2.20
7 O 0.7100 0.4200 0.6598  2 Cu 1.94, 1 Pd 2.06
8 O 0.2748 0.0069 0.7535  2 Pd 2.04, 1 Ag 2.20
9 O 0.7100 0.4200 0.2601  2 Cu 1.94, 1 Pd 2.06
10 O 0.7322 0.0069 0.7535  2 Pd 2.04, 1 Ag 2.20
11 Cu 0.5000 0.5000 0.5000  4 O 1.94
12 Cu 0.0000 0.5000 0.5000  4 O 1.94
13 Ag 0.1654 0.3309 0.9154  4 O 2.20-2.24
14 Ag 0.8346 0.6691 0.0846  4 O 2.20-2.24